Density functional theory data (PBEsol) for crystalline SrAgAu2 at its relaxed geometry.

Cell: 4.6450 4.6450 15.0004 Å, 90.00 90.00 120.00°
Space group R-3m (No. 166, hexagonal axes)
Inequivalent atoms, fractional coordinates:
Sr1 0.0000 0.0000 0.0000 [3 per cell]
Ag1 0.0000 0.0000 0.5000 [3 per cell]
Au1 0.0000 0.0000 0.2086 [6 per cell]

- N(E_F): 0.260 states/eV/atom
- Energy of formation from the pure elements: -439 meV/atom

Density functional theory data (PBEsol) for crystalline MgInTe2N at its relaxed geometry.

Cell: 5.804 5.804 3.976 Å, 90.00 90.00 90.00°
Space group P4/mmm (No. 123)
Inequivalent atoms, fractional coordinates:
Mg1 0.000 0.000 0.000 [1 per cell]
In1 0.500 0.500 0.500 [1 per cell]
Te1 0.000 0.500 0.500 [2 per cell]
N1 0.500 0.500 0.000 [1 per cell]

- N(E_F): 0.732 states/eV/atom
- Formation energy (no corrections): 0.612 eV/atom

Density functional theory data (PBEsol) for crystalline Be2CrTe at its relaxed geometry.

Cell: 3.5094 3.5094 18.4829 Å, 90.00 90.00 120.00°
Space group R3m (No. 160, hexagonal axes)
Inequivalent atoms, fractional coordinates:
Be1 0.0000 0.0000 0.0000 [3 per cell]
Be2 0.0000 0.0000 0.3450 [3 per cell]
Cr1 0.0000 0.0000 0.6129 [3 per cell]
Te1 0.0000 0.0000 0.8561 [3 per cell]

- Formation energy (no corrections): 0.386 eV/atom

Density functional theory data (PBEsol) for crystalline SrCaMn2O6 at its relaxed geometry.

Cell: 3.727 5.333 5.395 Å, 90.00 90.00 90.00°
Space group Pmm2 (No. 25)
Inequivalent atoms, fractional coordinates:
Sr1 0.000 0.000 0.000 [1 per cell]
Ca1 0.000 0.500 0.517 [1 per cell]
Mn1 0.500 0.000 0.510 [1 per cell]
Mn2 0.500 0.500 0.012 [1 per cell]
O1 0.000 0.000 0.481 [1 per cell]
O2 0.000 0.500 0.971 [1 per cell]
O3 0.500 0.250 0.234 [2 per cell]
O4 0.500 0.257 0.727 [2 per cell]

- N(E_F): 0.235 states/eV/atom
- Formation energy (no corrections): -2.255 eV/atom
- Energy above the most stable polymorph in this dataset: 0.020 eV per atom

| no. | total energy (eV/atom) |
| --- | --- |
| 1 | -3.69 |
| 2 | -3.44 |
| 3 | -5.06 |
| 4 | -7.75 |